Arrangement P

## Sn3RhO (PBE)

Data for an optimized crystal structure of Sn3RhO.

Geometry as POSCAR:
```
Sn3RhO
1.0
5.0506 0.0000 0.0000
0.0000 5.0506 0.0000
0.0000 0.0000 5.0506
Sn Rh O
3 1 1
direct
0.0000 0.0000 0.5000
0.0000 0.5000 0.0000
0.5000 0.0000 0.0000
0.0000 0.0000 0.0000
0.5000 0.5000 0.5000
```

- Theoretical density: 6.12 g cm⁻³
- Size of the total moment: 0.0 Bohr magnetons per cell
- Space group: Pm-3m


Arrangement Q

## Sn3RhO (PBE)

Data for an optimized crystal structure of Sn3RhO.

Geometry as POSCAR:
```
Sn3RhO
1.0
4.6602 0.0000 0.0000
0.0000 4.6602 0.0000
0.0000 0.0000 4.6602
Sn Rh O
3 1 1
direct
0.0000 0.0000 0.5000
0.0000 0.5000 0.0000
0.5000 0.0000 0.0000
0.5000 0.5000 0.5000
0.0000 0.0000 0.0000
```

- Theoretical density: 7.79 g cm⁻³
- Size of the total moment: 0.0 Bohr magnetons per cell
- Space group: Pm-3m


Looking at the structures above, which would you pick as the most stable? I would pick arrangement Q.